First-principles (GGA-PBE) data for DyY3HoTh after structural relaxation, as listed in Alexandria.

Space-group type   P2_1/m (11)
V   192.0 Å³/f.u.
Energy relative to the elements   23.8 meV/atom

Cell: 3.5726 10.6715 10.6681 Å, 109.28 90.00 90.00°
Last column: nearest neighbours and their distance in Å.
Fractional coordinates of all 12 atoms:
Y 0.7500 0.8744 0.0434  2 Dy 3.53, 1 Th 3.55, 3 Ho 3.55-3.61, 6 Y 3.57-3.59
Y 0.7500 0.3708 0.5419  2 Th 3.53, 1 Dy 3.53, 2 Ho 3.56, 7 Y 3.57-3.63
Ho 0.2500 0.1210 0.2938  3 Th 3.51, 7 Y 3.55-3.61, 2 Ho 3.57
Y 0.2500 0.1256 0.9566  2 Dy 3.53, 1 Th 3.55, 3 Ho 3.55-3.61, 6 Y 3.57-3.59
Dy 0.7500 0.3733 0.8739  6 Y 3.53-3.57, 2 Th 3.57, 4 Dy 3.57-3.60
Th 0.7500 0.8764 0.3766  3 Ho 3.51, 3 Y 3.53-3.55, 4 Th 3.54-3.57, 2 Dy 3.57
Ho 0.7500 0.8790 0.7062  3 Th 3.51, 7 Y 3.55-3.61, 2 Ho 3.57
Y 0.7500 0.3747 0.2086  3 Dy 3.57, 7 Y 3.57-3.59, 2 Ho 3.60
Y 0.2500 0.6292 0.4581  2 Th 3.53, 1 Dy 3.53, 2 Ho 3.56, 7 Y 3.57-3.63
Y 0.2500 0.6253 0.7914  3 Dy 3.57, 7 Y 3.57-3.59, 2 Ho 3.60
Dy 0.2500 0.6267 0.1261  6 Y 3.53-3.57, 2 Th 3.57, 4 Dy 3.57-3.60
Th 0.2500 0.1236 0.6234  3 Ho 3.51, 3 Y 3.53-3.55, 4 Th 3.54-3.57, 2 Dy 3.57